Here is Dy8CuTe4Se3 after structural relaxation from the Alexandria database. Energies are from PBE-GGA.

Computed properties:
The raw formation energy is -1.36 eV/atom.

Cell lengths 8.3762, 8.3762, 21.0742 Å; angles 90.00, 90.00, 120.00 degrees
Space group R-3m (No. 166, hexagonal axes)
Asymmetric unit:
Dy 0.0000 0.0000 0.2400 (multiplicity 6)
Dy 0.0150 0.5075 0.2391 (multiplicity 18)
Cu 0.0000 0.0000 0.5000 (multiplicity 3)
Te 0.0000 0.0000 0.0000 (multiplicity 3)
Te 0.0000 0.5000 0.0000 (multiplicity 9)
Se 0.0000 0.5000 0.5000 (multiplicity 9)